The following is a DFT calculation (PBE with a Hubbard U) of FeOs2O after structural relaxation.

Output
- Electronic total energy: -7.2801 eV per atom
- Space-group type: No. 122

Unit cell a=7.5161 b=7.5161 c=7.5161 alpha=146.67 beta=146.67 gamma=47.85
Fractional coordinates of all 8 atoms:
Fe  0.0000  0.0000  0.0000
Fe  0.7500  0.2500  0.5000
Os  0.2463  0.6250  0.1213
Os  0.3750  0.4963  0.6213
Os  0.5037  0.1250  0.8787
Os  0.8750  0.7537  0.3787
O  0.2500  0.7500  0.5000
O  0.5000  0.5000  0.0000